Record 1
SrSb2Au | PBE-GGA | optimized geometry

DFT total energy (eV for the cell shown): -14.77
Energy relative to the elements, uncorrected (meV per atom): -392
ρ (Mg/m³): 7.95
Calculated volume (Å³/atom): 27.57

Cell lengths 6.0988, 6.0988, 6.0988 Å; angles 140.09, 129.74, 66.02 degrees
Closest atoms and distances in Å follow each position.
Atoms (fractional coordinates):
Sr: 0.0000 0.0000 0.0000  8 Sb 3.32-3.50, 4 Au 3.38-3.60
Sb: 0.5031 0.5031 0.0000  2 Au 3.03, 2 Sb 3.11, 4 Sr 3.32
Sb: 0.7296 0.2296 0.5000  2 Sb 3.11, 4 Au 3.38, 2 Sr 3.46
Au: 0.2876 0.7876 0.5000  6 Sb 3.03-3.38, 2 Sr 3.38

=====

Record 2
Pa2TlBi7 | PBE-GGA | optimized geometry

DFT total energy (eV for the cell shown): -45.80
ρ (Mg/m³): 8.47
Calculated volume (Å³/atom): 41.77

Cell lengths 8.5108, 8.5108, 6.0224 Å; angles 90.00, 90.00, 106.77 degrees
Closest atoms and distances in Å follow each position.
Atoms (fractional coordinates):
Pa: 0.2239 0.7761 0.0000  7 Bi 3.01-3.24
Pa: 0.7761 0.2239 0.0000  7 Bi 3.01-3.24
Tl: 0.5000 0.5000 0.5000  10 Bi 3.79-4.04
Bi: 0.0000 0.0000 0.0000  2 Pa 3.06, 4 Bi 3.27
Bi: 0.1689 0.3978 0.0000  2 Pa 3.12-3.24, 2 Bi 3.13-3.27
Bi: 0.2227 0.7773 0.5000  2 Pa 3.01
Bi: 0.3978 0.1689 0.0000  2 Pa 3.12-3.24, 2 Bi 3.13-3.27
Bi: 0.6022 0.8311 0.0000  2 Pa 3.12-3.24, 2 Bi 3.13-3.27
Bi: 0.7773 0.2227 0.5000  2 Pa 3.01
Bi: 0.8311 0.6022 0.0000  2 Pa 3.12-3.24, 2 Bi 3.13-3.27

=====

Record 3
LuThSn | PBE-GGA | optimized geometry

Relative energy among the computed polymorphs (meV per atom): 100
DFT total energy (eV for the cell shown): -16.56
ρ (Mg/m³): 9.97
Calculated volume (Å³/atom): 29.18

Cell lengths 5.2571, 5.2571, 3.6569 Å; angles 90.00, 90.00, 120.00 degrees
Closest atoms and distances in Å follow each position.
Atoms (fractional coordinates):
Lu: 0.0000 0.0000 0.0000  3 Sn 3.09
Th: 0.3333 0.6667 0.4728  3 Sn 3.33, 6 Lu 3.49-3.60, 2 Th 3.66
Sn: 0.6667 0.3333 0.8475  3 Lu 3.09, 3 Th 3.33

=====

Record 4
Cs2AcBr6 | PBE-GGA | optimized geometry

Relative energy among the computed polymorphs (meV per atom): 0
DFT total energy (eV for the cell shown): -30.81
Energy relative to the elements, uncorrected (meV per atom): -1662
ρ (Mg/m³): 4.50
Calculated volume (Å³/atom): 39.87

Cell lengths 4.8516, 9.2489, 9.2489 Å; angles 120.16, 90.00, 90.00 degrees
Closest atoms and distances in Å follow each position.
Atoms (fractional coordinates):
Cs: 0.0000 0.1670 0.8330  9 Br 3.64-3.89
Cs: 0.0000 0.8330 0.1670  9 Br 3.64-3.89
Ac: 0.5000 0.5017 0.5017  9 Br 3.19-3.23
Br: 0.0000 0.2698 0.5003  2 Ac 3.23
Br: 0.0000 0.5003 0.2698  2 Ac 3.23
Br: 0.0000 0.7327 0.7327  2 Ac 3.23
Br: 0.5000 0.1559 0.1559  1 Ac 3.19
Br: 0.5000 0.4998 0.8457  1 Ac 3.19
Br: 0.5000 0.8457 0.4998  1 Ac 3.19

=====

Record 5
LaHSe2N | PBE-GGA | optimized geometry

Relative energy among the computed polymorphs (meV per atom): 0
DFT total energy (eV for the cell shown): -23.76
ρ (Mg/m³): 6.08
Calculated volume (Å³/atom): 17.04

Cell lengths 3.9193, 3.9193, 5.5456 Å; angles 90.00, 90.00, 90.00 degrees
Closest atoms and distances in Å follow each position.
Atoms (fractional coordinates):
La: 0.0000 0.0000 0.0000  4 N 2.77
H: 0.5000 0.5000 0.5000  4 Se 1.96
Se: 0.0000 0.5000 0.5000  2 H 1.96
Se: 0.5000 0.0000 0.5000  2 H 1.96
N: 0.5000 0.5000 0.0000  4 La 2.77, 2 H 2.77

=====

Record 6
K2Hg2Pb | PBE-GGA | optimized geometry

Relative energy among the computed polymorphs (meV per atom): 0
DFT total energy (eV for the cell shown): -7.69
ρ (Mg/m³): 6.31
Calculated volume (Å³/atom): 36.12

Cell lengths 6.7758, 6.7758, 6.7758 Å; angles 135.32, 122.01, 76.04 degrees
Closest atoms and distances in Å follow each position.
Atoms (fractional coordinates):
K: 0.1998 0.1998 0.0000  6 Hg 3.65-3.68, 2 Pb 3.92
K: 0.8002 0.8002 0.0000  6 Hg 3.65-3.68, 2 Pb 3.92
Hg: 0.2350 0.5000 0.7350  1 Hg 3.09, 2 Pb 3.11
Hg: 0.7650 0.5000 0.2650  1 Hg 3.09, 2 Pb 3.11
Pb: 0.5000 0.0000 0.5000  4 Hg 3.11

=====

What did the fourth record say?
Cs2AcBr6 | PBE-GGA | optimized geometry

Relative energy among the computed polymorphs (meV per atom): 0
DFT total energy (eV for the cell shown): -30.81
Energy relative to the elements, uncorrected (meV per atom): -1662
ρ (Mg/m³): 4.50
Calculated volume (Å³/atom): 39.87

Cell lengths 4.8516, 9.2489, 9.2489 Å; angles 120.16, 90.00, 90.00 degrees
Closest atoms and distances in Å follow each position.
Atoms (fractional coordinates):
Cs: 0.0000 0.1670 0.8330  9 Br 3.64-3.89
Cs: 0.0000 0.8330 0.1670  9 Br 3.64-3.89
Ac: 0.5000 0.5017 0.5017  9 Br 3.19-3.23
Br: 0.0000 0.2698 0.5003  2 Ac 3.23
Br: 0.0000 0.5003 0.2698  2 Ac 3.23
Br: 0.0000 0.7327 0.7327  2 Ac 3.23
Br: 0.5000 0.1559 0.1559  1 Ac 3.19
Br: 0.5000 0.4998 0.8457  1 Ac 3.19
Br: 0.5000 0.8457 0.4998  1 Ac 3.19

=====

> Look up the DFT total energy of the first one.

-14.77 eV for the cell shown

=====

> What is the formula in the sixth record?

K2Hg2Pb